[1]
Entry from Alexandria: crystalline NaLa4Pa3N8 at its relaxed geometry (GGA-PBE).

uncorrected energy	-138.24	eV per formula unit
ΔE_f (raw)	-1.38	eV per atom
V	16.7	Å³ per atom

abc: 7.1776 7.2748 7.1774
angles: 119.57 120.00 90.00
Fractional coordinates of all 16 atoms:
N (0.7061, 0.7138, 0.9600)
N (0.2538, 0.7137, 0.5077)
N (0.2939, 0.2862, 0.0400)
N (0.7350, 0.7048, 0.4699)
N (0.7462, 0.2863, 0.4923)
N (0.7461, 0.2862, 0.0400)
N (0.2539, 0.7138, 0.9600)
N (0.2650, 0.2952, 0.5301)
Pa (0.5000, 0.5000, 0.5000)
Pa (0.5000, 0.5000, 0.0000)
Pa (0.0000, 0.5000, 0.5000)
La (0.0000, 0.0000, 0.5000)
La (0.5000, 0.0000, 0.0000)
La (0.5000, 0.0000, 0.5000)
La (0.0000, 0.0000, 0.0000)
Na (0.0000, 0.5000, 0.0000)



[2]
Entry from Alexandria: crystalline NaLaPa4N8 at its relaxed geometry (GGA-PBE).

uncorrected energy	-130.40	eV per formula unit
ΔE_f (raw)	-1.40	eV per atom
V	17.0	Å³ per atom

abc: 7.1119 7.1119 6.8099
angles: 58.52 58.52 60.00
Fractional coordinates of all 14 atoms:
La (0.3801, 0.3801, 0.8597)
Pa (0.4955, 0.9996, 0.5054)
Pa (0.6065, 0.6065, 0.1805)
Pa (0.9996, 0.4955, 0.5054)
Pa (0.9996, 0.9996, 0.5054)
N (0.2320, 0.2320, 0.3040)
N (0.7447, 0.2299, 0.2806)
N (0.2299, 0.7447, 0.2806)
N (0.7447, 0.7447, 0.2806)
N (0.7967, 0.2585, 0.6864)
N (0.2585, 0.2585, 0.6864)
N (0.2585, 0.7967, 0.6864)
N (0.7532, 0.7532, 0.7403)
Na (0.0006, 0.0006, 0.9982)



- Among the records above, which one has the highest V?
  NaLaPa4N8



- What is the uncorrected energy in the second record?
  -130.40 eV per formula unit



- Which value of ΔE_f (raw) does entry 2 give?
  -1.40 eV per atom



What did the first record say?
Entry from Alexandria: crystalline NaLa4Pa3N8 at its relaxed geometry (GGA-PBE).

uncorrected energy	-138.24	eV per formula unit
ΔE_f (raw)	-1.38	eV per atom
V	16.7	Å³ per atom

abc: 7.1776 7.2748 7.1774
angles: 119.57 120.00 90.00
Fractional coordinates of all 16 atoms:
N (0.7061, 0.7138, 0.9600)
N (0.2538, 0.7137, 0.5077)
N (0.2939, 0.2862, 0.0400)
N (0.7350, 0.7048, 0.4699)
N (0.7462, 0.2863, 0.4923)
N (0.7461, 0.2862, 0.0400)
N (0.2539, 0.7138, 0.9600)
N (0.2650, 0.2952, 0.5301)
Pa (0.5000, 0.5000, 0.5000)
Pa (0.5000, 0.5000, 0.0000)
Pa (0.0000, 0.5000, 0.5000)
La (0.0000, 0.0000, 0.5000)
La (0.5000, 0.0000, 0.0000)
La (0.5000, 0.0000, 0.5000)
La (0.0000, 0.0000, 0.0000)
Na (0.0000, 0.5000, 0.0000)